Entry 1:
Below is a relaxed GdEr2Mg3CdHg2 crystal, with properties calculated at the GGA-PBE level.

Computed properties:
As for the space-group type: Amm2, No. 38. The value obtained for the total magnetization is 0.03 μB per formula unit. The total energy is -2.56 eV/atom.

Cell and atoms, written as POSCAR:
```
GdEr2Mg3CdHg2
1.0
4.636 0.000 0.000
0.000 6.455 3.688
0.000 -6.455 3.688
Cd Er Mg Hg Gd
1 2 3 2 1
Direct
0.000 0.004 0.004
0.000 0.999 0.425
0.000 0.425 0.999
0.500 0.243 0.243
0.500 0.000 0.758
0.500 0.758 0.000
0.500 0.667 0.331
0.500 0.331 0.667
0.000 0.574 0.574
```

---

Entry 2:
Below is a relaxed Gd2ErZn3CdHg2 crystal, with properties calculated at the GGA-PBE level.

Computed properties:
As for the space-group type: Amm2, No. 38. The value obtained for the total magnetization is 0.01 μB per formula unit. The formation energy is -3.13 eV/f.u.

Cell and atoms, written as POSCAR:
```
Gd2ErZn3CdHg2
1.0
-0.877 -0.218 -4.356
5.578 -4.505 -0.898
-6.556 -2.669 1.454
Zn Er Hg Gd Cd
3 1 2 2 1
Direct
0.500 0.764 0.000
0.500 0.234 0.234
0.500 0.000 0.764
0.000 0.573 0.573
0.500 0.337 0.666
0.500 0.666 0.337
0.000 0.002 0.428
0.000 0.428 0.002
0.000 0.996 0.996
```

---

Entry 3:
Below is a relaxed Gd2ErCdIn2 crystal, with properties calculated at the GGA-PBE level.

Computed properties:
As for the space-group type: P-6m2, No. 187. The value obtained for the total magnetization is 0.00 μB per formula unit. The total energy is -3.71 eV/atom.

Cell and atoms, written as POSCAR:
```
Gd2ErCdIn2
1.0
-2.572 -4.014 -1.928
4.926 0.748 -1.272
2.032 -3.961 5.536
In Gd Er Cd
2 2 1 1
Direct
0.000 0.000 0.000
0.333 0.667 0.500
0.667 0.333 0.746
0.667 0.333 0.254
0.333 0.667 0.000
0.000 0.000 0.500
```

---

Entry 4:
Below is a relaxed GdEr2Mg3CdIn2 crystal, with properties calculated at the GGA-PBE level.

Computed properties:
As for the space-group type: Amm2, No. 38. The value obtained for the total magnetization is 0.00 μB per formula unit. The total energy is -3.11 eV/atom.

Cell and atoms, written as POSCAR:
```
GdEr2Mg3CdIn2
1.0
4.626 0.000 0.000
0.000 6.538 3.745
0.000 -6.538 3.745
Mg In Er Cd Gd
3 2 2 1 1
Direct
0.500 0.000 0.240
0.500 0.759 0.759
0.500 0.240 0.000
0.500 0.669 0.333
0.500 0.333 0.669
0.000 0.001 0.574
0.000 0.574 0.001
0.000 0.996 0.996
0.000 0.428 0.428
```

---

> total magnetization of number 1 (GdEr2Mg3CdHg2)?

0.03 μB per formula unit

---

> Number 3 is which compound?

Gd2ErCdIn2

---

> The highest total magnetization belongs to which entry?

GdEr2Mg3CdHg2